No. 1
# Pm5GePb2 | Alexandria via LeMat-Bulk | PBE | relaxed
# spin magnetization = 0.000 μB/cell
# Fermi-level density of states = 7.8 states/eV/f.u.
# raw total energy = -4.82 eV/atom
# energy relative to the lowest polymorph listed for this composition = 1.94 eV per formula unit
# formation energy = -351 meV per atom
data_Pm5GePb2
_symmetry_space_group_name_H-M 'P 1'
_symmetry_Int_Tables_number 1
_symmetry_space_group_name_Hall 'P 1'
_cell_length_a 5.7564
_cell_length_b 5.7564
_cell_length_c 17.0361
_cell_angle_alpha 90.00
_cell_angle_beta 90.00
_cell_angle_gamma 117.23
loop_
_atom_site_label
_atom_site_fract_x
_atom_site_fract_y
_atom_site_fract_z
_atom_site_occupancy
Pm1 0.0839 0.9161 0.6044 1
Pm2 0.0839 0.9161 0.8956 1
Pm3 0.2501 0.7499 0.2500 1
Pm4 0.4157 0.5843 0.6048 1
Pm5 0.4157 0.5843 0.8952 1
Pm6 0.5843 0.4157 0.1048 1
Pm7 0.5843 0.4157 0.3952 1
Pm8 0.7499 0.2501 0.7500 1
Pm9 0.9161 0.0839 0.1044 1
Pm10 0.9161 0.0839 0.3956 1
Ge1 0.2489 0.7511 0.7500 1
Ge2 0.7511 0.2489 0.2500 1
Pb1 0.2503 0.7497 0.0649 1
Pb2 0.2503 0.7497 0.4351 1
Pb3 0.7497 0.2503 0.5649 1
Pb4 0.7497 0.2503 0.9351 1



No. 2
# Cs2AgPtPb | Alexandria via LeMat-Bulk | PBE | relaxed
# spin magnetization = 0.000 μB/cell
# Fermi-level density of states = 2.3 states/eV/f.u.
# raw total energy = -2.77 eV/atom
# formation energy = 89 meV per atom
data_Cs2AgPtPb
_symmetry_space_group_name_H-M 'P 1'
_symmetry_Int_Tables_number 1
_symmetry_space_group_name_Hall 'P 1'
_cell_length_a 6.7575
_cell_length_b 6.7575
_cell_length_c 5.2143
_cell_angle_alpha 90.00
_cell_angle_beta 90.00
_cell_angle_gamma 90.00
loop_
_atom_site_label
_atom_site_fract_x
_atom_site_fract_y
_atom_site_fract_z
_atom_site_occupancy
Cs1 0.0000 0.5000 0.0000 1
Cs2 0.5000 0.0000 0.0000 1
Ag1 0.0000 0.0000 0.5000 1
Pt1 0.5000 0.5000 0.0000 1
Pb1 0.5000 0.5000 0.5000 1



No. 3
# TcTeW2Au | Alexandria via LeMat-Bulk | PBE | relaxed
# spin magnetization = 0.003 μB/cell
# Fermi-level density of states = 5.2 states/eV/f.u.
# raw total energy = -6.27 eV/atom
# ΔE_f (raw) = 2.27 eV per atom
data_TcTeW2Au
_symmetry_space_group_name_H-M 'P 1'
_symmetry_Int_Tables_number 1
_symmetry_space_group_name_Hall 'P 1'
_cell_length_a 4.8683
_cell_length_b 4.8683
_cell_length_c 4.7614
_cell_angle_alpha 90.00
_cell_angle_beta 90.00
_cell_angle_gamma 90.00
loop_
_atom_site_label
_atom_site_fract_x
_atom_site_fract_y
_atom_site_fract_z
_atom_site_occupancy
Tc1 0.0000 0.0000 0.0000 1
Te1 0.0000 0.0000 0.5000 1
W1 0.0000 0.5000 0.5000 1
W2 0.5000 0.0000 0.5000 1
Au1 0.5000 0.5000 0.0000 1



No. 4
# Rb3TlNi2Br9 | Alexandria via LeMat-Bulk | PBE | relaxed
# spin magnetization = 1.009 μB/cell
# Fermi-level density of states = 5.7 states/eV/f.u.
# raw total energy = -3.04 eV/atom
# ΔE_f (raw) = -0.91 eV per atom
data_Rb3TlNi2Br9
_symmetry_space_group_name_H-M 'P 1'
_symmetry_Int_Tables_number 1
_symmetry_space_group_name_Hall 'P 1'
_cell_length_a 7.5296
_cell_length_b 7.5296
_cell_length_c 9.4684
_cell_angle_alpha 90.00
_cell_angle_beta 90.00
_cell_angle_gamma 120.00
loop_
_atom_site_label
_atom_site_fract_x
_atom_site_fract_y
_atom_site_fract_z
_atom_site_occupancy
Rb1 0.0000 0.0000 0.0000 1
Rb2 0.3333 0.6667 0.6836 1
Rb3 0.6667 0.3333 0.3164 1
Tl1 0.0000 0.0000 0.5000 1
Ni1 0.3333 0.6667 0.1529 1
Ni2 0.6667 0.3333 0.8471 1
Br1 0.0000 0.5000 0.0000 1
Br2 0.1787 0.3573 0.3044 1
Br3 0.1787 0.8213 0.3044 1
Br4 0.3573 0.1787 0.6956 1
Br5 0.5000 0.0000 0.0000 1
Br6 0.5000 0.5000 0.0000 1
Br7 0.6427 0.8213 0.3044 1
Br8 0.8213 0.1787 0.6956 1
Br9 0.8213 0.6427 0.6956 1



No. 5
# TiIBrN2 | Alexandria via LeMat-Bulk | PBE | relaxed
# spin magnetization = 1.188 μB/cell
# Fermi-level density of states = 7.9 states/eV/f.u.
# raw total energy = -3.49 eV/atom
# ΔE_f (raw) = 2.06 eV per atom
# energy relative to the lowest polymorph listed for this composition = 7.48 eV per formula unit
data_TiIBrN2
_symmetry_space_group_name_H-M 'P 1'
_symmetry_Int_Tables_number 1
_symmetry_space_group_name_Hall 'P 1'
_cell_length_a 4.0078
_cell_length_b 4.0078
_cell_length_c 6.2907
_cell_angle_alpha 90.00
_cell_angle_beta 90.00
_cell_angle_gamma 90.00
loop_
_atom_site_label
_atom_site_fract_x
_atom_site_fract_y
_atom_site_fract_z
_atom_site_occupancy
Ti1 0.0000 0.0000 0.0000 1
I1 0.5000 0.5000 0.0000 1
Br1 0.5000 0.5000 0.5000 1
N1 0.0000 0.5000 0.5000 1
N2 0.5000 0.0000 0.5000 1



No. 6
# SrTl2Ir | Alexandria via LeMat-Bulk | PBE | relaxed
# spin magnetization = 0.000 μB/cell
# Fermi-level density of states = 3.1 states/eV/f.u.
# raw total energy = -3.72 eV/atom
# formation energy = 96 meV per atom
data_SrTl2Ir
_symmetry_space_group_name_H-M 'P 1'
_symmetry_Int_Tables_number 1
_symmetry_space_group_name_Hall 'P 1'
_cell_length_a 3.6599
_cell_length_b 3.6599
_cell_length_c 7.7972
_cell_angle_alpha 90.00
_cell_angle_beta 90.00
_cell_angle_gamma 90.00
loop_
_atom_site_label
_atom_site_fract_x
_atom_site_fract_y
_atom_site_fract_z
_atom_site_occupancy
Sr1 0.0000 0.0000 0.0000 1
Tl1 0.0000 0.0000 0.5883 1
Tl2 0.5000 0.5000 0.3324 1
Ir1 0.5000 0.5000 0.7498 1